[1]
# SiRh3 (PBE, relaxed)
# E: -6.927 eV per atom
# formation energy from raw total energies: -0.057 eV per atom
data_SiRh3
_chemical_formula_sum 'Si3 Rh9'
_cell_length_a 8.3826
_cell_length_b 8.3826
_cell_length_c 2.7887
_cell_angle_alpha 90.00
_cell_angle_beta 90.00
_cell_angle_gamma 120.00
_symmetry_space_group_name_H-M 'R -3 m'
_symmetry_Int_Tables_number 166
_symmetry_space_group_name_Hall '-R 3 2"'
loop_
_atom_site_label
_atom_site_type_symbol
_atom_site_fract_x
_atom_site_fract_y
_atom_site_fract_z
Si1 Si 0.0000 0.0000 0.0000
Rh1 Rh 0.0000 0.5000 0.0000

[2]
# NdEu2Dy (PBE, relaxed)
# distance to the lowest polymorph of the same formula: 0.000 kcal/mol of atoms
# ΔE_f: 90 meV per atom
# E: -7.389 eV per atom
data_NdEu2Dy
_chemical_formula_sum 'Nd3 Eu6 Dy3'
_cell_length_a 3.6991
_cell_length_b 3.6991
_cell_length_c 36.7878
_cell_angle_alpha 90.00
_cell_angle_beta 90.00
_cell_angle_gamma 120.00
_symmetry_space_group_name_H-M 'R -3 m'
_symmetry_Int_Tables_number 166
_symmetry_space_group_name_Hall '-R 3 2"'
loop_
_atom_site_label
_atom_site_type_symbol
_atom_site_fract_x
_atom_site_fract_y
_atom_site_fract_z
Nd1 Nd 0.0000 0.0000 0.0000
Eu1 Eu 0.0000 0.0000 0.2487
Dy1 Dy 0.0000 0.0000 0.5000

- What is the E in the second record?
  -7.389 eV per atom

- E of number 2 (NdEu2Dy)?
  -7.389 eV per atom

- Which of these has the lowest E?
  NdEu2Dy

Please write out number 1 again, unchanged.
# SiRh3 (PBE, relaxed)
# E: -6.927 eV per atom
# formation energy from raw total energies: -0.057 eV per atom
data_SiRh3
_chemical_formula_sum 'Si3 Rh9'
_cell_length_a 8.3826
_cell_length_b 8.3826
_cell_length_c 2.7887
_cell_angle_alpha 90.00
_cell_angle_beta 90.00
_cell_angle_gamma 120.00
_symmetry_space_group_name_H-M 'R -3 m'
_symmetry_Int_Tables_number 166
_symmetry_space_group_name_Hall '-R 3 2"'
loop_
_atom_site_label
_atom_site_type_symbol
_atom_site_fract_x
_atom_site_fract_y
_atom_site_fract_z
Si1 Si 0.0000 0.0000 0.0000
Rh1 Rh 0.0000 0.5000 0.0000